[1]
VASP calculation (PBE) on a relaxed structure of PmMg2Zn2Ga.

Space-group type: I4/mmm, No. 139
Formation enthalpy at 0 K in eV per atom: 0.04

Cell lengths 5.0729, 5.0729, 6.5734 Å; angles 112.70, 112.70, 90.00 degrees
Fractional positions:
Pm 0.5000 0.5000 0.0000
Mg 0.2500 0.7500 0.5000
Mg 0.7500 0.2500 0.5000
Zn 0.7842 0.7842 0.5684
Zn 0.2158 0.2158 0.4316
Ga 0.0000 0.0000 0.0000

***

[2]
VASP calculation (PBE) on a relaxed structure of Pr2MgGa.

Space-group type: R-3m, No. 166
Formation enthalpy at 0 K in eV per atom: 0.02

Cell lengths 3.5780, 3.5780, 11.5627 Å; angles 81.10, 81.10, 60.00 degrees
Fractional positions:
Pr 0.1003 0.1003 0.6992
Pr 0.8997 0.8997 0.3008
Mg 0.0000 0.0000 0.0000
Ga 0.5000 0.5000 0.5000

***

[3]
VASP calculation (PBE) on a relaxed structure of Pr7Mg2Ga2.

Space-group type: Cmmm, No. 65
Formation enthalpy at 0 K in eV per atom: 0.06

Cell lengths 6.6182, 8.7245, 6.6182 Å; angles 90.01, 109.82, 89.99 degrees
Fractional positions:
Pr 0.9999 0.3000 0.5000
Pr 0.5000 0.7000 0.9999
Pr 0.0001 0.7000 0.5000
Pr 0.5000 0.3000 0.0001
Pr 0.0000 0.0000 0.0000
Pr 0.5001 0.7040 0.4999
Pr 0.4999 0.2960 0.5001
Mg 0.6821 0.0000 0.3179
Mg 0.3179 0.0000 0.6821
Ga 0.8350 0.5000 0.8350
Ga 0.1650 0.5000 0.1650

***

[4]
VASP calculation (PBE) on a relaxed structure of PrMgGa2.

Space-group type: P4/mmm, No. 123
Formation enthalpy at 0 K in eV per atom: -0.43

Cell lengths 4.2931, 4.5874, 4.5874 Å; angles 90.00, 90.00, 90.00 degrees
Fractional positions:
Pr 0.5000 0.5000 0.5000
Mg 0.5000 0.0000 0.0000
Ga 0.0000 0.0000 0.5000
Ga 0.0000 0.5000 0.0000

***

[5]
VASP calculation (PBE) on a relaxed structure of Pr5Mg4Ga.

Space-group type: P4/mmm, No. 123
Formation enthalpy at 0 K in eV per atom: -0.20

Cell lengths 3.8534, 3.8534, 19.5886 Å; angles 90.00, 90.00, 90.00 degrees
Fractional positions:
Pr 0.5000 0.5000 0.0894
Pr 0.5000 0.5000 0.2956
Pr 0.5000 0.5000 0.5000
Pr 0.5000 0.5000 0.7044
Pr 0.5000 0.5000 0.9106
Mg 0.0000 0.0000 0.1952
Mg 0.0000 0.0000 0.3980
Mg 0.0000 0.0000 0.6020
Mg 0.0000 0.0000 0.8048
Ga 0.0000 0.0000 0.0000

***

[6]
VASP calculation (PBE) on a relaxed structure of Pr2Mg12Ga7.

Space-group type: P-3, No. 147
Formation enthalpy at 0 K in eV per atom: -0.24

Cell lengths 4.0677, 11.4423, 11.4423 Å; angles 120.00, 90.00, 90.00 degrees
Fractional positions:
Pr 0.2616 0.3333 0.6667
Pr 0.7384 0.6667 0.3333
Mg 0.2494 0.6164 0.0506
Mg 0.2494 0.4342 0.3836
Mg 0.2494 0.9494 0.5658
Mg 0.7506 0.3836 0.9494
Mg 0.7506 0.5658 0.6164
Mg 0.7506 0.0506 0.4342
Mg 0.2495 0.1056 0.2592
Mg 0.2495 0.1536 0.8944
Mg 0.2495 0.7408 0.8464
Mg 0.7505 0.8944 0.7408
Mg 0.7505 0.8464 0.1056
Mg 0.7505 0.2592 0.1536
Ga 0.5000 0.0000 0.0000
Ga 0.2458 0.8643 0.2902
Ga 0.2458 0.4259 0.1357
Ga 0.2458 0.7098 0.5741
Ga 0.7542 0.1357 0.7098
Ga 0.7542 0.5741 0.8643
Ga 0.7542 0.2902 0.4259

***

[7]
VASP calculation (PBE) on a relaxed structure of PrMg3Ga2.

Space-group type: C2/m, No. 12
Formation enthalpy at 0 K in eV per atom: -0.34
Relative energy among the computed polymorphs in meV/atom: 0

Cell lengths 4.4923, 8.5603, 8.2698 Å; angles 116.33, 90.00, 105.21 degrees
Fractional positions:
Pr 0.8566 0.7133 0.9321
Pr 0.1434 0.2867 0.0679
Mg 0.3139 0.6279 0.5436
Mg 0.9559 0.9118 0.6277
Mg 0.6071 0.2142 0.7148
Mg 0.3929 0.7858 0.2852
Mg 0.0441 0.0882 0.3723
Mg 0.6861 0.3721 0.4564
Ga 0.4830 0.9660 0.8396
Ga 0.5170 0.0340 0.1604
Ga 0.7938 0.5876 0.2738
Ga 0.2062 0.4124 0.7262

***

[8]
VASP calculation (PBE) on a relaxed structure of PrMg4Ga2.

Space-group type: Cmmm, No. 65
Formation enthalpy at 0 K in eV per atom: -0.30
Relative energy among the computed polymorphs in meV/atom: 0

Cell lengths 4.4055, 4.4352, 8.4230 Å; angles 105.26, 90.00, 90.00 degrees
Fractional positions:
Pr 0.0000 0.0000 0.0000
Mg 0.5000 0.8227 0.6453
Mg 0.0000 0.6796 0.3593
Mg 0.5000 0.1773 0.3547
Mg 0.0000 0.3204 0.6407
Ga 0.5000 0.5761 0.1522
Ga 0.5000 0.4239 0.8478

***

[9]
VASP calculation (PBE) on a relaxed structure of PrMg2Ga.

Space-group type: R-3m, No. 166
Formation enthalpy at 0 K in eV per atom: 0.11
Relative energy among the computed polymorphs in meV/atom: 430

Cell lengths 3.2450, 3.2450, 11.2954 Å; angles 81.74, 81.74, 60.00 degrees
Fractional positions:
Pr 0.0000 0.0000 0.0000
Mg 0.0987 0.0987 0.7038
Mg 0.9013 0.9013 0.2962
Ga 0.5000 0.5000 0.5000

***

[10]
VASP calculation (PBE) on a relaxed structure of PrMg4Ga2.

Space-group type: P4_2/mnm, No. 136
Formation enthalpy at 0 K in eV per atom: -0.28
Relative energy among the computed polymorphs in meV/atom: 16

Cell lengths 4.3980, 8.4910, 8.4910 Å; angles 90.00, 90.00, 90.00 degrees
Fractional positions:
Pr 0.5000 0.0000 0.0000
Pr 0.0000 0.5000 0.5000
Mg 0.0000 0.0945 0.3363
Mg 0.0000 0.9055 0.6637
Mg 0.5000 0.1637 0.5945
Mg 0.5000 0.8363 0.4055
Mg 0.5000 0.4055 0.8363
Mg 0.5000 0.5945 0.1637
Mg 0.0000 0.3363 0.0945
Mg 0.0000 0.6637 0.9055
Ga 0.0000 0.2021 0.7979
Ga 0.0000 0.7979 0.2021
Ga 0.5000 0.7021 0.7021
Ga 0.5000 0.2979 0.2979

***

[11]
VASP calculation (PBE) on a relaxed structure of PrMg5Ga2.

Space-group type: Immm, No. 71
Formation enthalpy at 0 K in eV per atom: -0.24

Cell lengths 4.3297, 6.9406, 6.9406 Å; angles 72.90, 71.83, 71.83 degrees
Fractional positions:
Pr 0.0000 0.0000 0.0000
Mg 0.0000 0.5000 0.5000
Mg 0.6546 0.5281 0.1627
Mg 0.3454 0.4719 0.8373
Mg 0.3454 0.8373 0.4719
Mg 0.6546 0.1627 0.5281
Ga 0.7277 0.7723 0.7723
Ga 0.2723 0.2277 0.2277

***

[12]
VASP calculation (PBE) on a relaxed structure of PrMgGa2.

Space-group type: Pnma, No. 62
Formation enthalpy at 0 K in eV per atom: -0.51

Cell lengths 4.3853, 11.6361, 14.4050 Å; angles 90.00, 90.00, 90.00 degrees
Fractional positions:
Pr 0.7500 0.4587 0.6987
Pr 0.2500 0.9587 0.8013
Pr 0.2500 0.5413 0.3013
Pr 0.7500 0.0413 0.1987
Pr 0.7500 0.2386 0.9447
Pr 0.2500 0.7386 0.5553
Pr 0.2500 0.7614 0.0553
Pr 0.7500 0.2614 0.4447
Mg 0.7500 0.5503 0.9385
Mg 0.2500 0.0503 0.5615
Mg 0.2500 0.4497 0.0615
Mg 0.7500 0.9497 0.4385
Mg 0.7500 0.3408 0.1938
Mg 0.2500 0.8408 0.3062
Mg 0.2500 0.6592 0.8062
Mg 0.7500 0.1592 0.6938
Ga 0.7500 0.9686 0.9658
Ga 0.2500 0.4686 0.5342
Ga 0.2500 0.0314 0.0342
Ga 0.7500 0.5314 0.4658
Ga 0.7500 0.7778 0.8880
Ga 0.2500 0.2778 0.6120
Ga 0.2500 0.2222 0.1120
Ga 0.7500 0.7222 0.3880
Ga 0.7500 0.7427 0.7120
Ga 0.2500 0.2427 0.7880
Ga 0.2500 0.2573 0.2880
Ga 0.7500 0.7573 0.2120
Ga 0.7500 0.9343 0.6341
Ga 0.2500 0.4343 0.8659
Ga 0.2500 0.0657 0.3659
Ga 0.7500 0.5657 0.1341